# PBE RbGaO2F, optimized geometry
# - DFT total energy: -4.787 eV/atom
# - V: 13.8 Å³/atom
# - E_form (uncorrected): -1.630 eV per atom
# - Size of the total moment: 1.00 Bohr magnetons per cell
data_RbGaO2F
_symmetry_space_group_name_H-M 'P 4/m m m'
_symmetry_Int_Tables_number 123
_symmetry_space_group_name_Hall '-P 4 2'
_cell_length_a 3.8875
_cell_length_b 3.8875
_cell_length_c 4.5494
_cell_angle_alpha 90.00
_cell_angle_beta 90.00
_cell_angle_gamma 90.00
loop_
_atom_site_label
_atom_site_type_symbol
_atom_site_fract_x
_atom_site_fract_y
_atom_site_fract_z
Rb1 Rb 0.0000 0.0000 0.0000
Ga1 Ga 0.5000 0.5000 0.5000
O1 O 0.0000 0.5000 0.5000
F1 F 0.5000 0.5000 0.0000